DyCuBiAu: optimized geometry, PBE-GGA.

Cell lengths 5.004, 5.004, 5.004 Å; angles 60.00, 60.00, 60.00 degrees
Fractional coordinates of all 4 atoms:
Dy (0.000, 0.000, 0.000)
Cu (0.250, 0.250, 0.250)
Bi (0.500, 0.500, 0.500)
Au (0.750, 0.750, 0.750)

Results
The energy relative to the elements is -0.348 eV per atom.

LiAsPb: optimized geometry, PBE-GGA.

Cell lengths 4.258, 4.258, 4.847 Å; angles 90.00, 90.00, 120.00 degrees
Fractional coordinates of all 3 atoms:
Li (0.000, 0.000, 0.000)
As (0.333, 0.667, 0.146)
Pb (0.667, 0.333, 0.476)

Results
The energy relative to the elements is -0.279 eV per atom.

TeP2Au: optimized geometry, PBE-GGA.

Cell lengths 4.725, 3.831, 4.836 Å; angles 90.00, 105.07, 90.00 degrees
Fractional coordinates of all 4 atoms:
Te (0.000, 0.000, 0.000)
P (0.210, 0.500, 0.668)
P (0.790, 0.500, 0.332)
Au (0.500, 0.000, 0.500)

Results
Its formation energy from raw total energies is 0.13 eV per atom.

FeIrOs2I: optimized geometry, PBE-GGA.

Cell lengths 4.738, 4.738, 5.326 Å; angles 90.00, 90.00, 90.00 degrees
Fractional coordinates of all 5 atoms:
Fe (0.000, 0.000, 0.000)
Ir (0.500, 0.500, 0.500)
Os (0.000, 0.500, 0.500)
Os (0.500, 0.000, 0.500)
I (0.500, 0.500, 0.000)

Results
Its formation energy from raw total energies is 2.31 eV per atom.